# FeAsIrBr2

A relaxed FeAsIrBr2 crystal (GGA-PBE, Alexandria).

Computed properties:
Size of the total moment, μB per formula unit: 3.8
Calculated total energy, eV/atom: -4.239
E_form (uncorrected), eV/atom: 0.8247
Crystal system: tetragonal
Energy above the most stable polymorph in this dataset, meV/atom: 0.0

Cell lengths 5.2875, 5.2875, 4.6348 Å; angles 90.00, 90.00, 90.00 degrees
Space group P4/mmm (No. 123)
Inequivalent atoms, fractional coordinates:
Fe 0.0000 0.0000 0.0000 [1 per cell]
As 0.5000 0.5000 0.0000 [1 per cell]
Ir 0.5000 0.5000 0.5000 [1 per cell]
Br 0.0000 0.5000 0.5000 [2 per cell]